7
Lattice="-3.969 -0.303 -2.928 -0.810 -4.613 1.576 -7.110 0.453 5.419" Properties=species:S:1:pos:R:3 comment="Ce4Lu2C (GGA-PBE, relaxed)" final_energy_ev_per_atom=-5.787 formation_energy_kj_per_mol_atoms=20.6 magnetic_moment_mub_per_cell=1.45 pbc="T T T"
Ce -1.984 -0.152 -1.464
Ce -0.405 -2.306 0.788
Ce -5.757 -0.381 3.673
Ce -6.131 -4.082 0.394
C 0.000 0.000 0.000
Lu -8.068 -2.888 2.895
Lu -3.820 -1.576 1.172



4
Lattice="3.603 0.000 0.000 1.802 3.120 0.000 1.802 1.040 5.804" Properties=species:S:1:pos:R:3 comment="CeLuC2 (GGA-PBE, relaxed)" final_energy_ev_per_atom=-7.287 formation_energy_kj_per_mol_atoms=-6.0 magnetic_moment_mub_per_cell=0.69 pbc="T T T"
C 5.405 3.120 4.357
C 1.802 1.040 1.447
Lu 0.000 0.000 0.000
Ce 3.603 2.080 2.902



5
Lattice="-4.429 -0.489 -2.306 1.365 -4.534 -1.660 -1.922 -2.093 4.135" Properties=species:S:1:pos:R:3 comment="Ce3LuC (GGA-PBE, relaxed)" final_energy_ev_per_atom=-6.309 formation_energy_kj_per_mol_atoms=0.0 magnetic_moment_mub_per_cell=0.77 pbc="T T T"
Ce 0.682 -2.267 -0.830
Ce -0.961 -1.046 2.068
Ce -2.214 -0.245 -1.153
Lu -2.493 -3.558 0.085
C 0.000 0.000 0.000



4
Lattice="-2.798 0.777 -1.187 0.201 -2.381 -2.032 -3.852 -5.180 5.689" Properties=species:S:1:pos:R:3 comment="CeLu2C (GGA-PBE, relaxed)" final_energy_ev_per_atom=-5.808 formation_energy_kj_per_mol_atoms=23.4 e_above_lowest_polymorph_kj_per_mol_atoms=35.32 magnetic_moment_mub_per_cell=1.36 pbc="T T T"
C -1.299 -0.802 -1.609
Lu -3.253 -4.375 4.804
Lu -0.599 -0.805 0.884
Ce -3.225 -3.392 1.235



4
Lattice="3.403 0.000 0.000 1.701 2.947 0.000 1.701 0.982 9.591" Properties=species:S:1:pos:R:3 comment="CeLu2C (GGA-PBE, relaxed)" final_energy_ev_per_atom=-6.174 formation_energy_kj_per_mol_atoms=-11.9 e_above_lowest_polymorph_kj_per_mol_atoms=0.00 magnetic_moment_mub_per_cell=1.15 pbc="T T T"
C 3.403 1.965 4.795
Lu 5.104 2.947 3.470
Lu 1.701 0.982 6.121
Ce 0.000 0.000 0.000



16
Lattice="2.985 -5.765 0.000 2.985 5.765 0.000 0.000 0.000 10.618" Properties=species:S:1:pos:R:3 comment="CeMg14C (GGA-PBE, relaxed)" final_energy_ev_per_atom=-2.138 formation_energy_kj_per_mol_atoms=19.7 e_above_lowest_polymorph_kj_per_mol_atoms=0.00 magnetic_moment_mub_per_cell=1.14 pbc="T T T"
Mg 2.985 -1.915 8.055
Mg 1.462 0.881 8.045
Mg 2.985 -3.774 0.000
Mg 4.495 -0.886 0.000
Mg 2.985 2.086 0.000
Mg 4.346 -0.402 5.309
Mg 2.985 3.269 3.731
Mg 1.462 0.881 2.574
Mg 1.623 -0.402 5.309
Mg 4.507 0.881 2.574
Mg 2.985 3.269 6.887
Mg 2.985 -1.915 2.563
Mg 1.475 -0.886 0.000
Mg 4.507 0.881 8.045
C 2.985 1.511 5.309
Ce 2.985 -3.480 5.309